#A
{
  "formula": "SbSe2Cl",
  "functional": "PBEsol",
  "state": "relaxed",
  "vol_a3_per_atom": 23.2,
  "space_group": "P4/mmm",
  "cell": [[3.7811, 0.0000, 0.0000], [0.0000, 3.7811, 0.0000], [0.0000, 0.0000, 6.4824]],
  "species": ["Sb", "Se", "Se", "Cl"],
  "fractional_positions": [[0.0000, 0.0000, 0.0000], [0.5000, 0.5000, 0.1963], [0.5000, 0.5000, 0.8037], [0.0000, 0.0000, 0.5000]]
}



#B
{
  "formula": "SbSe2Cl",
  "functional": "PBEsol",
  "state": "relaxed",
  "vol_a3_per_atom": 25.9,
  "space_group": "I-42d",
  "cell": [[-3.6838, 3.6838, 3.8189], [3.6838, -3.6838, 3.8189], [3.6838, 3.6838, -3.8189]],
  "species": ["Sb", "Sb", "Se", "Se", "Se", "Se", "Cl", "Cl"],
  "fractional_positions": [[0.0000, 0.0000, 0.0000], [0.7500, 0.2500, 0.5000], [0.0912, 0.6250, 0.9662], [0.3750, 0.3412, 0.4662], [0.6588, 0.1250, 0.0338], [0.8750, 0.9088, 0.5338], [0.2500, 0.7500, 0.5000], [0.5000, 0.5000, 0.0000]]
}



Relative calculated energies, zero for the most stable structure, unit meV per atom: #A 0; #B 48.